# VC2O6 | Alexandria via LeMat-Bulk | GGA+U | optimized geometry
# - energy above the lowest structure with this stoichiometry (meV per atom) = 28
# - spin magnetization (μB per formula unit) = 0.99
# - space group = R-3 (148)
# - E_tot (eV per cell) = -68.773
data_VC2O6
_space_group_name_H-M_alt 'P 1'
_space_group_IT_number 1
_cell_length_a 4.850
_cell_length_b 4.850
_cell_length_c 6.270
_cell_angle_alpha 67.25
_cell_angle_beta 67.25
_cell_angle_gamma 60.00
loop_
_space_group_symop_operation_xyz
'x,y,z'
loop_
_atom_site_label
_atom_site_fract_x
_atom_site_fract_y
_atom_site_fract_z
O1 0.456 0.938 0.303
V1 0.500 0.500 0.500
O2 0.062 0.696 0.697
C1 0.769 0.769 0.692
O3 0.696 0.544 0.697
O4 0.544 0.062 0.697
O5 0.938 0.304 0.303
C2 0.231 0.231 0.308
O6 0.304 0.456 0.303